DFT (PBE-GGA) results for an optimized crystal structure of PmPrDy.

## Properties
Total energy: -4.6935 eV/atom
Energy of formation: 0.0173 eV/atom
Volume: 101.8 Å³/cell
N(E_F): 3.977 states/eV/f.u.
ΔE to the lowest computed polymorph: 4 meV/atom

```
data_PmPrDy
_chemical_formula_sum 'Pm1 Pr1 Dy1'
_symmetry_space_group_name_H-M 'P 3 m 1'
_symmetry_Int_Tables_number 156
_cell_length_a 3.6333
_cell_length_b 3.6333
_cell_length_c 8.9083
_cell_angle_alpha 90.00
_cell_angle_beta 90.00
_cell_angle_gamma 120.00
loop_
_symmetry_equiv_pos_as_xyz
'x,y,z'
'-y,x-y,z'
'-x+y,-x,z'
'-y,-x,z'
'-x+y,y,z'
'x,x-y,z'
loop_
_atom_site_label
_atom_site_type_symbol
_atom_site_fract_x
_atom_site_fract_y
_atom_site_fract_z
Pm1 Pm 0.0000 0.0000 0.0000
Pr1 Pr 0.3333 0.6667 0.6573
Dy1 Dy 0.6667 0.3333 0.3260
```